Entry 1:
A plane-wave DFT calculation with PBE was carried out for a geometry-optimized ReOs3Pd structure.

The space group is Pm-3m (No. 221) and the conventional cell measures 4.583, 4.583 and 4.583 Å, with angles of 90.00, 90.00 and 90.00 degrees. The distinct sites, in fractional coordinates, are Re at (0.000, 0.000, 0.000), Os at (0.000, 0.500, 0.500) and Pd at (0.500, 0.500, 0.500).

The calculation puts the formation energy at 3.102 eV/atom. The value obtained for the energy above the lowest structure with this stoichiometry is 0.831 eV/atom. The value obtained for the uncorrected energy is -0.2633 hartree per atom.

---

Entry 2:
A plane-wave DFT calculation with PBE was carried out for a geometry-optimized GaH3F structure.

The space group is Pm-3m (No. 221) and the conventional cell measures 3.548, 3.548 and 3.548 Å, with angles of 90.00, 90.00 and 90.00 degrees. The distinct sites, in fractional coordinates, are Ga at (0.000, 0.000, 0.000), H at (0.000, 0.500, 0.500) and F at (0.500, 0.500, 0.500).

The value obtained for the energy above the lowest structure with this stoichiometry is 0.628 eV/atom. The value obtained for the uncorrected energy is -0.0829 hartree per atom.

---

Entry 3:
A plane-wave DFT calculation with PBE was carried out for a geometry-optimized CaMnIr structure.

The space group is P6_3/mmc (No. 194) and the conventional cell measures 4.2531, 4.2531 and 8.1238 Å, with angles of 90.00, 90.00 and 120.00 degrees. The distinct sites, in fractional coordinates, are Ca at (0.0000, 0.0000, 0.0000), Mn at (0.3333, 0.6667, 0.2500) and Ir at (0.3333, 0.6667, 0.7500).

The calculation puts the formation energy at -0.005 eV/atom. The value obtained for the energy above the lowest structure with this stoichiometry is 0.199 eV/atom. The value obtained for the uncorrected energy is -0.2456 hartree per atom.

---

Entry 4:
A plane-wave DFT calculation with PBE was carried out for a geometry-optimized Ag2PW structure.

The space group is R3m (No. 160, hexagonal axes) and the conventional cell measures 3.0142, 3.0142 and 53.0906 Å, with angles of 90.00, 90.00 and 120.00 degrees. The distinct sites, in fractional coordinates, are Ag at (0.0000, 0.0000, 0.0000), Ag at (0.0000, 0.0000, 0.0892), Ag at (0.0000, 0.0000, 0.3773), Ag at (0.0000, 0.0000, 0.7997), P at (0.0000, 0.0000, 0.8469), P at (0.0000, 0.0000, 0.9528), W at (0.0000, 0.0000, 0.2540) and W at (0.0000, 0.0000, 0.5456).

The calculation puts the formation energy at 0.008 eV/atom. The value obtained for the uncorrected energy is -0.2208 hartree per atom.

---

Entry 5:
A plane-wave DFT calculation with PBE was carried out for a geometry-optimized Tc5Ru structure.

The space group is Cmmm (No. 65) and the conventional cell measures 3.859, 11.655 and 3.866 Å, with angles of 90.00, 90.00 and 90.00 degrees. The distinct sites, in fractional coordinates, are Tc at (0.000, 0.000, 0.000), Tc at (0.000, 0.165, 0.500), Tc at (0.000, 0.335, 0.000) and Ru at (0.000, 0.500, 0.500).

The calculation puts the formation energy at 0.063 eV/atom. The value obtained for the energy above the lowest structure with this stoichiometry is 0.087 eV/atom. The value obtained for the uncorrected energy is -0.3719 hartree per atom.

---

Entry 6:
A plane-wave DFT calculation with PBE was carried out for a geometry-optimized NdAlHg structure.

The space group is P-6m2 (No. 187) and the conventional cell measures 4.7371, 4.7371 and 3.7603 Å, with angles of 90.00, 90.00 and 120.00 degrees. The distinct sites, in fractional coordinates, are Nd at (0.0000, 0.0000, 0.0000), Al at (0.3333, 0.6667, 0.5000) and Hg at (0.6667, 0.3333, 0.5000).

The calculation puts the formation energy at -0.468 eV/atom. The value obtained for the uncorrected energy is -0.1252 hartree per atom.

---

Entry 7:
A plane-wave DFT calculation with PBE was carried out for a geometry-optimized HgRhPb2 structure.

The space group is Imm2 (No. 44) and the conventional cell measures 3.218, 4.711 and 13.238 Å, with angles of 90.00, 90.00 and 90.00 degrees. The distinct sites, in fractional coordinates, are Hg at (0.000, 0.000, 0.000), Rh at (0.000, 0.500, 0.308), Pb at (0.000, 0.000, 0.626) and Pb at (0.000, 0.500, 0.825).

The calculation puts the formation energy at 0.069 eV/atom. The value obtained for the uncorrected energy is -0.1359 hartree per atom.

---

Entry 8:
A plane-wave DFT calculation with PBE was carried out for a geometry-optimized Hg2BrOF structure.

The space group is C2/m (No. 12) and the conventional cell measures 13.200, 3.866 and 9.497 Å, with angles of 90.00, 123.93 and 90.00 degrees. The distinct sites, in fractional coordinates, are Hg at (0.085, 0.000, 0.331), Hg at (0.155, 0.500, 0.064), Br at (0.160, 0.500, 0.598), O at (0.052, 0.500, 0.185) and F at (0.160, 0.000, 0.902).

The value obtained for the uncorrected energy is -0.0898 hartree per atom.

---

Please write out number 4 again, unchanged.
A plane-wave DFT calculation with PBE was carried out for a geometry-optimized Ag2PW structure.

The space group is R3m (No. 160, hexagonal axes) and the conventional cell measures 3.0142, 3.0142 and 53.0906 Å, with angles of 90.00, 90.00 and 120.00 degrees. The distinct sites, in fractional coordinates, are Ag at (0.0000, 0.0000, 0.0000), Ag at (0.0000, 0.0000, 0.0892), Ag at (0.0000, 0.0000, 0.3773), Ag at (0.0000, 0.0000, 0.7997), P at (0.0000, 0.0000, 0.8469), P at (0.0000, 0.0000, 0.9528), W at (0.0000, 0.0000, 0.2540) and W at (0.0000, 0.0000, 0.5456).

The calculation puts the formation energy at 0.008 eV/atom. The value obtained for the uncorrected energy is -0.2208 hartree per atom.

---

Question: Which of these has the lowest uncorrected energy?
Answer: Tc5Ru